! RbBeCuGe2, relaxed, DFT PBE-GGA; values from VASP
! space group	P4/mmm
! formation energy	0.8811	eV per atom
&SYSTEM
  ibrav = 0, nat = 5, ntyp = 4
/
ATOMIC_SPECIES
Be 9.01 Be.upf
Ge 72.64 Ge.upf
Cu 63.55 Cu.upf
Rb 85.47 Rb.upf
CELL_PARAMETERS angstrom
-0.567 -4.550 1.008
0.089 -1.358 -6.078
4.660 -0.539 0.189
ATOMIC_POSITIONS angstrom
Be 2.091 -3.223 -2.440
Ge 2.330 -0.269 0.094
Ge -0.283 -2.275 0.504
Cu 0.000 0.000 0.000
Rb 0.045 -0.679 -3.039

=====

! RbBe2CuGe, relaxed, DFT PBE-GGA; values from VASP
! space group	P4/mmm
! formation energy	2.2887	eV per atom
&SYSTEM
  ibrav = 0, nat = 5, ntyp = 4
/
ATOMIC_SPECIES
Be 9.01 Be.upf
Ge 72.64 Ge.upf
Cu 63.55 Cu.upf
Rb 85.47 Rb.upf
CELL_PARAMETERS angstrom
-5.290 -0.399 -0.272
0.414 -2.315 -4.675
0.236 -4.747 2.372
ATOMIC_POSITIONS angstrom
Be 0.118 -2.374 1.186
Be -2.645 -0.199 -0.136
Ge -2.320 -3.730 -1.287
Cu 0.207 -1.158 -2.337
Rb 0.000 0.000 0.000

=====

! BeCu2GeSb, relaxed, DFT PBE-GGA; values from VASP
! formation energy from raw total energies	0.551	eV per atom
! space group	P4/mmm
&SYSTEM
  ibrav = 0, nat = 5, ntyp = 4
/
ATOMIC_SPECIES
Sb 121.76 Sb.upf
Ge 72.64 Ge.upf
Cu 63.55 Cu.upf
Be 9.01 Be.upf
CELL_PARAMETERS angstrom
-1.178 3.754 -1.719
-4.585 -0.942 1.083
0.509 1.906 3.813
ATOMIC_POSITIONS angstrom
Sb -2.292 -0.471 0.542
Ge -2.627 2.359 1.589
Cu 0.255 0.953 1.907
Cu -0.589 1.877 -0.860
Be 0.000 0.000 0.000

=====

! ScBeCuGe2, relaxed, DFT PBE-GGA; values from VASP
! space group	P4/mmm
! formation energy	1.2031	eV per atom
&SYSTEM
  ibrav = 0, nat = 5, ntyp = 4
/
ATOMIC_SPECIES
Sc 44.96 Sc.upf
Be 9.01 Be.upf
Ge 72.64 Ge.upf
Cu 63.55 Cu.upf
CELL_PARAMETERS angstrom
5.067 0.000 0.000
0.000 4.818 0.000
0.000 0.000 5.067
ATOMIC_POSITIONS angstrom
Sc 0.000 0.000 0.000
Be 2.534 2.409 2.534
Ge 0.000 0.000 2.534
Ge 2.534 0.000 0.000
Cu 0.000 2.409 0.000

=====

! Sr2Be3CuGe4, relaxed, DFT PBE-GGA; values from VASP
! space group	P-4m2
! formation energy	-0.2605	eV per atom
&SYSTEM
  ibrav = 0, nat = 10, ntyp = 4
/
ATOMIC_SPECIES
Sr 87.62 Sr.upf
Be 9.01 Be.upf
Cu 63.55 Cu.upf
Ge 72.64 Ge.upf
CELL_PARAMETERS angstrom
-2.298 3.508 0.246
-2.638 -1.914 2.650
5.541 3.088 7.745
ATOMIC_POSITIONS angstrom
Sr 0.254 2.536 2.084
Sr 2.819 1.349 7.109
Be 2.771 1.544 3.873
Be 3.670 4.439 6.858
Be -0.596 -0.554 2.335
Cu 0.303 2.341 5.321
Ge -2.468 0.797 1.448
Ge 0.000 0.000 0.000
Ge 2.345 3.701 5.006
Ge 0.729 0.184 4.187

=====

! Sr2BeCu3Ge4, relaxed, DFT PBE-GGA; values from VASP
! space group	P-4m2
! formation energy	-0.3149	eV per atom
&SYSTEM
  ibrav = 0, nat = 10, ntyp = 4
/
ATOMIC_SPECIES
Sr 87.62 Sr.upf
Be 9.01 Be.upf
Cu 63.55 Cu.upf
Ge 72.64 Ge.upf
CELL_PARAMETERS angstrom
4.224 0.000 0.000
0.000 4.224 0.000
0.000 0.000 10.408
ATOMIC_POSITIONS angstrom
Sr 2.112 0.000 2.667
Sr 0.000 2.112 7.742
Be 2.112 2.112 5.204
Cu 0.000 0.000 5.204
Cu 2.112 0.000 9.011
Cu 0.000 2.112 1.397
Ge 2.112 2.112 0.000
Ge 0.000 0.000 0.000
Ge 2.112 0.000 6.498
Ge 0.000 2.112 3.911

=====

Please write out number 6 again, unchanged.
! Sr2BeCu3Ge4, relaxed, DFT PBE-GGA; values from VASP
! space group	P-4m2
! formation energy	-0.3149	eV per atom
&SYSTEM
  ibrav = 0, nat = 10, ntyp = 4
/
ATOMIC_SPECIES
Sr 87.62 Sr.upf
Be 9.01 Be.upf
Cu 63.55 Cu.upf
Ge 72.64 Ge.upf
CELL_PARAMETERS angstrom
4.224 0.000 0.000
0.000 4.224 0.000
0.000 0.000 10.408
ATOMIC_POSITIONS angstrom
Sr 2.112 0.000 2.667
Sr 0.000 2.112 7.742
Be 2.112 2.112 5.204
Cu 0.000 0.000 5.204
Cu 2.112 0.000 9.011
Cu 0.000 2.112 1.397
Ge 2.112 2.112 0.000
Ge 0.000 0.000 0.000
Ge 2.112 0.000 6.498
Ge 0.000 2.112 3.911

=====

Question: Which formula does entry 3 have?
Answer: BeCu2GeSb